Arrangement a

The following is a PBE calculation of a geometry-optimized Ho8NiPd2 structure, from the Alexandria database.

Structure (extended XYZ):
```
11
Lattice="5.8632 -0.0636 -1.0659 -2.0736 6.7551 -3.0785 -0.1916 -0.3530 7.6972" Properties=species:S:1:pos:R:3 pbc="T T T"
Ho 0.0943 5.9037 1.8713
Ni 1.0283 0.0121 -0.1716
Ho 5.2111 0.9886 4.5142
Ho 4.0738 5.2843 -1.9980
Ho 2.7096 2.2720 -0.9734
Ho 3.1860 0.4728 1.7543
Ho 3.2353 4.0890 2.1322
Ho 0.2053 2.2835 1.4704
Pd 1.3650 4.5957 -0.2603
Ho 0.5726 4.0975 4.6095
Pd 2.0927 1.8472 3.9064
```

Computed properties:
Density of states at the Fermi level ... 14.5 states/eV per cell

=====

Arrangement b

The following is a PBE calculation of a geometry-optimized Ho8NiPd2 structure, from the Alexandria database.

Structure (extended XYZ):
```
11
Lattice="-3.2276 0.8998 3.7562 -2.2238 -6.2768 -0.4072 8.0785 -0.8669 3.7768" Properties=species:S:1:pos:R:3 pbc="T T T"
Ho 4.3125 -0.4296 3.8085
Ho 0.7031 -4.0421 4.9450
Ho -1.3399 -4.9542 0.0354
Ho 4.0771 -3.8223 4.4190
Ni -1.6138 0.4499 1.8781
Ho 1.9240 -2.2018 2.1807
Ho 3.9670 -1.2897 7.0903
Ho -1.6854 -5.8143 3.3172
Pd 0.8289 -4.7567 1.8517
Ho -1.4500 -2.4216 2.7067
Pd 1.7982 -1.4872 5.2740
```

Computed properties:
Density of states at the Fermi level ... 13.3 states/eV per cell

=====

Least stable structure: arrangement a

=====

Arrangement a

The following is a PBE calculation of a geometry-optimized Ho4NiPd structure, from the Alexandria database.

Structure (extended XYZ):
```
12
Lattice="6.3054 0.0000 0.0000 0.0000 6.8103 0.0000 0.0000 0.0000 6.8103" Properties=species:S:1:pos:R:3 pbc="T T T"
Ho 0.0000 2.2218 1.2747
Ho 0.0000 4.5885 5.5356
Ho 3.1527 2.2218 5.5356
Pd 4.7291 0.0000 0.0000
Ho 3.1527 5.5356 4.5885
Ni 4.7291 3.4052 3.4052
Ni 1.5764 3.4052 3.4052
Ho 3.1527 1.2747 2.2218
Ho 0.0000 1.2747 4.5885
Ho 3.1527 4.5885 1.2747
Pd 1.5764 0.0000 0.0000
Ho 0.0000 5.5356 2.2218
```

Computed properties:
Density of states at the Fermi level ... 16.4 states/eV per cell

=====

Arrangement b

The following is a PBE calculation of a geometry-optimized Ho4NiPd structure, from the Alexandria database.

Structure (extended XYZ):
```
12
Lattice="-5.2074 -3.0966 -3.3014 3.2319 -5.4326 2.2763 -2.8118 4.4447 6.3368" Properties=species:S:1:pos:R:3 pbc="T T T"
Ho -3.9109 1.7888 5.1897
Ho -3.4661 -2.8510 1.4769
Ni -5.1327 -2.2643 -0.5949
Pd -4.1822 -0.6376 3.5899
Pd -0.6051 -3.4469 1.7218
Ni 0.3454 -1.8202 5.9066
Ho -4.1713 -4.1820 -2.0797
Ho 0.7560 -3.9717 4.2659
Ho -0.8764 -5.8734 0.1221
Ho -0.6161 0.0975 7.3915
Ho -1.3213 -1.2336 3.8349
Ho -5.5434 -0.1128 1.0459
```

Computed properties:
Density of states at the Fermi level ... 13.6 states/eV per cell

=====

Least stable structure: arrangement b

=====

Arrangement a

The following is a PBE calculation of a geometry-optimized PmHoNiPd structure, from the Alexandria database.

Structure (extended XYZ):
```
4
Lattice="-3.0077 0.8056 -2.2040 -2.7269 -0.8085 3.4257 1.8023 4.5761 2.5147" Properties=species:S:1:pos:R:3 pbc="T T T"
Pm 0.0846 1.4108 0.4003
Ho -2.6504 3.6172 1.6375
Ni 0.2497 4.1652 1.1818
Pd -2.8216 0.7617 0.8274
```

Computed properties:
Density of states at the Fermi level ... 2.5 states/eV per cell

=====

Arrangement b

The following is a PBE calculation of a geometry-optimized PmHoNiPd structure, from the Alexandria database.

Structure (extended XYZ):
```
4
Lattice="4.9405 0.0000 0.0000 2.4702 4.2786 0.0000 2.4702 1.4262 4.0339" Properties=species:S:1:pos:R:3 pbc="T T T"
Pd 7.4107 4.2786 3.0254
Ni 2.4702 1.4262 1.0085
Pm 4.9405 2.8524 2.0169
Ho 0.0000 0.0000 0.0000
```

Computed properties:
Density of states at the Fermi level ... 4.2 states/eV per cell

=====

Least stable structure: arrangement b

=====

Arrangement a

The following is a PBE calculation of a geometry-optimized PmHo2Ni structure, from the Alexandria database.

Structure (extended XYZ):
```
4
Lattice="-2.7525 2.6455 -0.0835 -3.3146 -0.6363 1.7863 1.2687 4.3279 7.9776" Properties=species:S:1:pos:R:3 pbc="T T T"
Ho 0.7029 3.6990 6.7037
Pm -2.4180 3.1476 4.7979
Ho -1.4488 1.3072 1.8590
Ni -4.0337 1.3517 1.1601
```

Computed properties:
Density of states at the Fermi level ... 4.5 states/eV per cell

=====

Arrangement b

The following is a PBE calculation of a geometry-optimized PmHo2Ni structure, from the Alexandria database.

Structure (extended XYZ):
```
16
Lattice="6.3818 0.0000 0.0000 0.0000 6.8825 0.0000 0.0000 0.0000 9.5994" Properties=species:S:1:pos:R:3 pbc="T T T"
Pm 0.8884 6.6688 7.1995
Ni 2.7626 6.1173 2.3998
Ho 1.1265 4.6515 4.1582
Ho 5.2553 2.2309 5.4412
Pm 4.0793 3.6549 2.3998
Ni 3.6191 0.7652 7.1995
Ho 5.2553 2.2309 8.9578
Pm 5.4934 0.2137 2.3998
Ni 0.4282 2.6761 2.3998
Ni 5.9535 4.2064 7.1995
Ho 2.0644 1.2103 4.1582
Ho 4.3173 5.6722 8.9578
Ho 4.3173 5.6722 5.4412
Pm 2.3025 3.2276 7.1995
Ho 1.1265 4.6515 0.6415
Ho 2.0644 1.2103 0.6415
```

Computed properties:
Density of states at the Fermi level ... 17.5 states/eV per cell

=====

Least stable structure: arrangement a

=====

Arrangement a

The following is a PBE calculation of a geometry-optimized PmHoNi structure, from the Alexandria database.

Structure (extended XYZ):
```
3
Lattice="-0.0115 -1.8448 3.4626 0.9733 -1.9535 -3.2603 5.9900 1.5622 0.8521" Properties=species:S:1:pos:R:3 pbc="T T T"
Pm 4.1268 -1.0092 -0.5240
Ho 0.5558 0.1449 0.0791
Ni 2.2693 -1.3718 1.4994
```

Computed properties:
Density of states at the Fermi level ... 2.7 states/eV per cell

=====

Arrangement b

The following is a PBE calculation of a geometry-optimized PmHoNi structure, from the Alexandria database.

Structure (extended XYZ):
```
6
Lattice="-0.9023 -3.1943 -0.8851 2.3212 -2.3570 6.1217 -5.7814 3.1007 1.3845" Properties=species:S:1:pos:R:3 pbc="T T T"
Pm -4.2975 -0.4662 4.5188
Ho -0.1974 -2.1233 6.2980
Pm -1.3831 -0.9428 3.2466
Ni -3.9569 -1.6434 1.7456
Ho -5.4837 0.7140 1.4675
Ni -2.6265 -2.9619 5.1345
```

Computed properties:
Density of states at the Fermi level ... 6.5 states/eV per cell

=====

Arrangement c

The following is a PBE calculation of a geometry-optimized PmHoNi structure, from the Alexandria database.

Structure (extended XYZ):
```
6
Lattice="7.8784 1.3954 0.7986 3.9060 6.2241 -3.2647 -5.3635 -3.4389 4.9052" Properties=species:S:1:pos:R:3 pbc="T T T"
Ni 2.0424 -1.6596 4.6323
Pm 2.7711 -0.0431 2.5352
Ni 0.4725 -0.3839 1.0716
Pm 3.6499 4.2237 -0.0961
Ho 0.7041 2.3190 0.5204
Ho 5.7168 1.8615 1.9187
```

Computed properties:
Density of states at the Fermi level ... 8.8 states/eV per cell

=====

Arrangement d

The following is a PBE calculation of a geometry-optimized PmHoNi structure, from the Alexandria database.

Structure (extended XYZ):
```
3
Lattice="4.7937 0.0000 0.0000 2.3969 4.1515 0.0000 2.3969 1.3838 3.9140" Properties=species:S:1:pos:R:3 pbc="T T T"
Pm 0.0000 0.0000 0.0000
Ho 4.7937 2.7677 1.9570
Ni 2.3969 1.3838 0.9785
```

Computed properties:
Density of states at the Fermi level ... 2.6 states/eV per cell

=====

Least stable structure: arrangement c

=====

Arrangement a

The following is a PBE calculation of a geometry-optimized Pm2HoNi structure, from the Alexandria database.

Structure (extended XYZ):
```
4
Lattice="-2.2474 2.6002 0.8532 0.6757 -0.5427 3.4335 6.4848 5.7268 -0.3710" Properties=species:S:1:pos:R:3 pbc="T T T"
Ni -0.7859 1.0288 2.1434
Pm 1.2456 1.1000 -0.0713
Pm 5.2392 4.6268 -0.2997
Ho 2.4565 3.8921 1.9579
```

Computed properties:
Density of states at the Fermi level ... 6.8 states/eV per cell

=====

Arrangement b

The following is a PBE calculation of a geometry-optimized Pm2HoNi structure, from the Alexandria database.

Structure (extended XYZ):
```
16
Lattice="-4.0909 3.8544 3.0108 1.7591 -2.5672 5.6772 8.1163 7.8167 1.0210" Properties=species:S:1:pos:R:3 pbc="T T T"
Pm 3.3428 5.0915 8.0163
Ho 3.7702 7.6550 5.4540
Ni 4.6498 1.2824 4.6767
Pm 5.9125 7.7224 8.4085
Ho 5.1911 6.6396 1.9268
Pm 1.0559 5.0192 5.0004
Pm 7.4617 6.5612 4.9835
Pm 2.4416 4.0124 1.6927
Ni 0.0045 0.7054 5.8554
Pm -1.6774 2.5428 4.7255
Pm 4.7284 4.0848 4.7086
Ho 2.0142 1.4490 4.2550
Ni 5.7799 8.3985 3.8536
Pm -0.1282 1.3815 1.3005
Ho 0.5933 2.4643 7.7822
Ni 1.1346 7.8216 5.0323
```

Computed properties:
Density of states at the Fermi level ... 20.7 states/eV per cell

=====

Arrangement c

The following is a PBE calculation of a geometry-optimized Pm2HoNi structure, from the Alexandria database.

Structure (extended XYZ):
```
4
Lattice="3.6418 0.0000 0.0000 1.8209 3.1539 0.0000 1.8209 1.0513 10.4526" Properties=species:S:1:pos:R:3 pbc="T T T"
Ni 3.6418 2.1026 5.2263
Pm 1.8209 1.0513 6.9981
Pm 5.4627 3.1539 3.4545
Ho 0.0000 0.0000 0.0000
```

Computed properties:
Density of states at the Fermi level ... 5.6 states/eV per cell

=====

Least stable structure: arrangement c